[1]
Entry from the Alexandria database: a relaxed structure of ZrIn2Sb2 (PBE).

a = 7.633 Å, b = 7.633 Å, c = 4.589 Å
α = 90.00°, β = 90.00°, γ = 90.00°
Sites, in units of the cell vectors:
In 0.167 0.667 0.500
In 0.833 0.333 0.500
In 0.667 0.833 0.500
In 0.333 0.167 0.500
Sb 0.355 0.855 0.000
Sb 0.645 0.145 0.000
Sb 0.855 0.645 0.000
Sb 0.145 0.355 0.000
Zr 0.000 0.000 0.000
Zr 0.500 0.500 0.000

Summary:
- calculated volume (Å³ per atom) = 26.737
- crystal system = tetragonal
- symmetry = No. 127
- electronic total energy (eV/atom) = -4.49
- energy relative to the elements, uncorrected (kJ per mole of atoms) = -3.5

[2]
Entry from the Alexandria database: a relaxed structure of AlZnNi4 (PBE).

a = 2.626 Å, b = 4.444 Å, c = 6.579 Å
α = 98.84°, β = 78.49°, γ = 72.81°
Sites, in units of the cell vectors:
Ni 0.329 0.006 0.336
Ni 0.163 0.504 0.170
Ni 0.671 0.994 0.664
Ni 0.837 0.496 0.830
Al 0.500 0.500 0.500
Zn 0.000 0.000 0.000

Summary:
- calculated volume (Å³ per atom) = 11.667
- crystal system = monoclinic
- symmetry = No. 12
- electronic total energy (eV/atom) = -4.98
- DFT formation energy (eV per atom) = -0.287

[3]
Entry from the Alexandria database: a relaxed structure of Sc2CoPtC (PBE).

a = 4.582 Å, b = 4.582 Å, c = 3.574 Å
α = 90.00°, β = 90.00°, γ = 90.00°
Sites, in units of the cell vectors:
Sc 0.500 0.000 0.000
Sc 0.000 0.500 0.000
C 0.000 0.000 0.000
Pt 0.500 0.500 0.500
Co 0.000 0.000 0.500

Summary:
- calculated volume (Å³ per atom) = 15.009
- crystal system = tetragonal
- symmetry = No. 123
- electronic total energy (eV/atom) = -7.70
- DFT formation energy (eV per atom) = -0.695

[4]
Entry from the Alexandria database: a relaxed structure of Fe6CoRh2 (PBE).

a = 2.565 Å, b = 7.337 Å, c = 7.364 Å
α = 119.88°, β = 105.87°, γ = 90.00°
Last column: magnetic moment on the atom in μB.
Sites, in units of the cell vectors:
Fe 0.981 0.665 0.667  2.68
Fe 0.500 0.678 0.000  2.69
Fe 0.019 0.998 0.333  2.68
Fe 0.019 0.335 0.333  2.68
Fe 0.500 0.322 0.000  2.69
Fe 0.981 0.002 0.667  2.68
Rh 0.312 0.664 0.328  0.70
Rh 0.688 0.336 0.672  0.70
Co 0.000 0.000 0.000  1.86

Summary:
- calculated volume (Å³ per atom) = 12.670
- crystal system = monoclinic
- symmetry = No. 12
- electronic total energy (eV/atom) = -7.94
- DFT formation energy (eV per atom) = 0.125